Density functional theory data (PBE with a Hubbard U) for a relaxed VO2 crystal.

a = 10.314 Å, b = 3.897 Å, c = 3.689 Å
α = 90.00°, β = 110.14°, γ = 90.00°
Space group C2/m (No. 12)
Unique sites:
V  0.134  0.000  0.353 (multiplicity 4)
O  0.087  0.000  0.835 (multiplicity 4)
O  0.171  0.500  0.428 (multiplicity 4)

Output
total DFT energy (no corrections) = -7.75 eV per atom